[1]
CaTl2AsBr6 | PBE | optimized geometry

* total energy: -3.0251 eV per atom
* energy relative to the elements, uncorrected: -8.8 eV/f.u.
* SG: Immm, No. 71

Cell: 7.744 7.748 8.237 Å, 61.93 61.95 90.00°
Each line ends with the local moment (μB).
Positions (direct):
Ca1 0.000 0.000 0.000  0.01
Tl1 0.750 0.251 0.499  0.00
Tl2 0.250 0.749 0.501  0.00
As1 0.500 0.500 0.000  0.40
Br1 0.230 0.230 0.540  0.04
Br2 0.740 0.739 0.000  0.01
Br3 0.261 0.739 0.000  0.01
Br4 0.739 0.261 0.000  0.01
Br5 0.260 0.261 0.000  0.01
Br6 0.770 0.770 0.460  0.04

[2]
CaVAs2Br | PBE | optimized geometry

* polymorph energy (0 for the lowest one): 0.000 eV/f.u.
* total energy: -4.8983 eV per atom
* energy relative to the elements, uncorrected: -2.4 eV/f.u.
* SG: P4/mmm, No. 123
* N(E_F): 3.26 states/eV per cell

Cell: 4.742 4.742 5.455 Å, 90.00 90.00 90.00°
Each line ends with the local moment (μB).
Positions (direct):
As1 0.000 0.500 0.000  -0.06
As2 0.500 0.000 0.000  -0.06
Ca1 0.500 0.500 0.500  0.00
Br1 0.000 0.000 0.500  -0.02
V1 0.000 0.000 0.000  1.25

[3]
CaVAs2Br | PBE | optimized geometry

* polymorph energy (0 for the lowest one): 7.006 eV/f.u.
* total energy: -3.4972 eV per atom
* energy relative to the elements, uncorrected: 4.6 eV/f.u.
* SG: P4/mmm, No. 123
* N(E_F): 10.26 states/eV per cell

Cell: 5.374 5.374 5.302 Å, 90.00 90.00 90.00°
Each line ends with the local moment (μB).
Positions (direct):
As1 0.000 0.500 0.000  -0.14
As2 0.500 0.000 0.000  -0.14
Ca1 0.000 0.000 0.000  -0.01
Br1 0.000 0.000 0.500  -0.06
V1 0.500 0.500 0.500  0.16

[4]
CaAsWBr2 | PBE | optimized geometry

* polymorph energy (0 for the lowest one): 4.054 eV/f.u.
* total energy: -3.8218 eV per atom
* energy relative to the elements, uncorrected: 3.8 eV/f.u.
* SG: P4/mmm, No. 123
* N(E_F): 6.53 states/eV per cell

Cell: 5.278 5.278 6.257 Å, 90.00 90.00 90.00°
Each line ends with the local moment (μB).
Positions (direct):
As1 0.000 0.000 0.500  -0.71
Ca1 0.000 0.000 0.000  -0.02
Br1 0.000 0.500 0.000  -0.01
Br2 0.500 0.000 0.000  -0.01
W1 0.500 0.500 0.500  3.41

[5]
CaAsWBr2 | PBE | optimized geometry

* polymorph energy (0 for the lowest one): 0.000 eV/f.u.
* total energy: -4.6325 eV per atom
* energy relative to the elements, uncorrected: -0.2 eV/f.u.
* SG: P4/mmm, No. 123
* N(E_F): 1.92 states/eV per cell

Cell: 5.247 5.247 4.941 Å, 90.00 90.00 90.00°
Each line ends with the local moment (μB).
Positions (direct):
As1 0.000 0.000 0.500  -0.03
Ca1 0.500 0.500 0.500  0.02
Br1 0.000 0.500 0.000  0.04
Br2 0.500 0.000 0.000  0.04
W1 0.000 0.000 0.000  1.34

[6]
CaYAsBr2 | PBE | optimized geometry

* polymorph energy (0 for the lowest one): 1.763 eV/f.u.
* total energy: -4.0427 eV per atom
* energy relative to the elements, uncorrected: -3.8 eV/f.u.
* SG: P4/mmm, No. 123
* N(E_F): 0.50 states/eV per cell

Cell: 5.190 5.190 5.994 Å, 90.00 90.00 90.00°
Positions (direct):
Y1 0.500 0.500 0.500
As1 0.000 0.000 0.500
Ca1 0.000 0.000 0.000
Br1 0.000 0.500 0.000
Br2 0.500 0.000 0.000

[7]
CaYAsBr2 | PBE | optimized geometry

* polymorph energy (0 for the lowest one): 0.000 eV/f.u.
* total energy: -4.3953 eV per atom
* energy relative to the elements, uncorrected: -5.5 eV/f.u.
* SG: P4/mmm, No. 123
* N(E_F): 0.31 states/eV per cell

Cell: 5.434 5.434 5.700 Å, 90.00 90.00 90.00°
Positions (direct):
Y1 0.000 0.000 0.000
As1 0.000 0.000 0.500
Ca1 0.500 0.500 0.500
Br1 0.000 0.500 0.000
Br2 0.500 0.000 0.000

[8]
CaZnAsBr2 | PBE | optimized geometry

* polymorph energy (0 for the lowest one): 0.881 eV/f.u.
* total energy: -2.5825 eV per atom
* energy relative to the elements, uncorrected: -1.6 eV/f.u.
* SG: P4/mmm, No. 123
* N(E_F): 1.94 states/eV per cell

Cell: 5.546 5.546 6.164 Å, 90.00 90.00 90.00°
Each line ends with the local moment (μB).
Positions (direct):
As1 0.000 0.000 0.500  0.84
Ca1 0.000 0.000 0.000  0.01
Zn1 0.500 0.500 0.500  -0.05
Br1 0.000 0.500 0.000  0.06
Br2 0.500 0.000 0.000  0.06

[9]
CaZnAsBr2 | PBE | optimized geometry

* polymorph energy (0 for the lowest one): 0.000 eV/f.u.
* total energy: -2.7587 eV per atom
* energy relative to the elements, uncorrected: -2.5 eV/f.u.
* SG: P4/mmm, No. 123
* N(E_F): 3.43 states/eV per cell

Cell: 5.255 5.255 4.978 Å, 90.00 90.00 90.00°
Each line ends with the local moment (μB).
Positions (direct):
As1 0.000 0.000 0.500  0.30
Ca1 0.500 0.500 0.500  0.02
Zn1 0.000 0.000 0.000  0.00
Br1 0.000 0.500 0.000  0.07
Br2 0.500 0.000 0.000  0.07

[10]
CaZr2AsBr | PBE | optimized geometry

* total energy: -3.9349 eV per atom
* energy relative to the elements, uncorrected: 5.7 eV/f.u.
* SG: P4/mmm, No. 123
* N(E_F): 6.45 states/eV per cell

Cell: 5.400 4.925 5.400 Å, 90.00 90.00 90.00°
Positions (direct):
As1 0.500 0.500 0.500
Ca1 0.000 0.000 0.000
Br1 0.000 0.500 0.000
Zr1 0.000 0.000 0.500
Zr2 0.500 0.000 0.000

[11]
CaZrAs2Br | PBE | optimized geometry

* polymorph energy (0 for the lowest one): 5.266 eV/f.u.
* total energy: -3.9285 eV per atom
* energy relative to the elements, uncorrected: 1.9 eV/f.u.
* SG: P4/mmm, No. 123
* N(E_F): 4.78 states/eV per cell

Cell: 5.304 5.304 5.179 Å, 90.00 90.00 90.00°
Each line ends with the local moment (μB).
Positions (direct):
As1 0.000 0.500 0.000  0.07
As2 0.500 0.000 0.000  0.07
Ca1 0.000 0.000 0.000  0.00
Br1 0.000 0.000 0.500  0.04
Zr1 0.500 0.500 0.500  -0.83

[12]
CaZrAs2Br | PBE | optimized geometry

* polymorph energy (0 for the lowest one): 0.000 eV/f.u.
* total energy: -4.9818 eV per atom
* energy relative to the elements, uncorrected: -3.4 eV/f.u.
* SG: P4/mmm, No. 123
* N(E_F): 3.11 states/eV per cell

Cell: 5.212 5.212 5.353 Å, 90.00 90.00 90.00°
Positions (direct):
As1 0.000 0.500 0.000
As2 0.500 0.000 0.000
Ca1 0.500 0.500 0.500
Br1 0.000 0.000 0.500
Zr1 0.000 0.000 0.000